1.
A geometry-optimized Ca2CoTc2 structure, computed with GGA-PBE.

Calculated values
- relative energy among the computed polymorphs (meV per atom) = 435
- symmetry = P4/mbm (127)
- energy relative to the elements (kcal/mol of atoms) = 23.18
- calculated density (g cm⁻³) = 5.07
- Fermi-level density of states (states/eV/cell) = 13.47

Lattice parameters (Å, degrees): 8.674 8.674 2.917 90.00 90.00 90.00
Last column: magnetic moment on the atom in μB.
Fractional positions:
Co 0.000 0.000 0.000  1.95
Co 0.500 0.500 0.000  1.95
Ca 0.698 0.198 0.000  -0.02
Ca 0.198 0.302 0.000  -0.02
Ca 0.802 0.698 0.000  -0.02
Ca 0.302 0.802 0.000  -0.02
Tc 0.411 0.089 0.500  0.22
Tc 0.911 0.411 0.500  0.22
Tc 0.589 0.911 0.500  0.22
Tc 0.089 0.589 0.500  0.22

***

2.
A geometry-optimized Ca2CoTc structure, computed with GGA-PBE.

Calculated values
- relative energy among the computed polymorphs (meV per atom) = 408
- symmetry = C2/m (12)
- energy relative to the elements (kcal/mol of atoms) = 16.92
- calculated density (g cm⁻³) = 4.91
- Fermi-level density of states (states/eV/cell) = 4.94

Lattice parameters (Å, degrees): 6.881 5.425 2.892 89.78 65.52 121.58
Last column: magnetic moment on the atom in μB.
Fractional positions:
Tc 0.500 0.500 0.000  0.32
Co 0.000 0.500 0.500  1.50
Ca 0.000 0.000 0.000  -0.04
Ca 0.500 0.000 0.500  -0.04

***

3.
A geometry-optimized Ca2CoTc structure, computed with GGA-PBE.

Calculated values
- relative energy among the computed polymorphs (meV per atom) = 403
- symmetry = Immm (71)
- energy relative to the elements (kcal/mol of atoms) = 16.80
- calculated density (g cm⁻³) = 4.96
- Fermi-level density of states (states/eV/cell) = 2.84

Lattice parameters (Å, degrees): 5.491 5.491 4.634 65.07 65.07 39.48
Last column: magnetic moment on the atom in μB.
Fractional positions:
Co 0.750 0.750 0.750  1.43
Ca 0.476 0.476 0.524  -0.05
Ca 0.024 0.024 0.976  -0.05
Tc 0.250 0.250 0.250  1.27

***

4.
A geometry-optimized CaCo2Tc structure, computed with GGA-PBE.

Calculated values
- relative energy among the computed polymorphs (meV per atom) = 163
- symmetry = P4/mmm (123)
- energy relative to the elements (kcal/mol of atoms) = 10.61
- calculated density (g cm⁻³) = 7.18
- Fermi-level density of states (states/eV/cell) = 4.28

Lattice parameters (Å, degrees): 4.584 4.584 2.817 90.00 90.00 90.00
Last column: magnetic moment on the atom in μB.
Fractional positions:
Ca 0.000 0.500 0.500  -0.09
Tc 0.500 0.000 0.500  0.66
Co 0.500 0.500 0.000  1.20
Co 0.000 0.000 0.000  1.20

***

Q: The lowest Fermi-level density of states belongs to which entry?
A: number 3

***

Q: Which of these has the highest relative energy among the computed polymorphs?
A: Ca2CoTc2

***

Q: Which value of calculated density does entry 2 give?
A: 4.91 g cm⁻³

***

Q: Which of these has the highest calculated density?
A: CaCo2Tc